Entry 1:
Crystalline ThScCoAu at its relaxed geometry, computed with PBE.

Cell lengths 6.9583, 6.9583, 6.9583 Å; angles 90.00, 90.00, 90.00 degrees
Last column: nearest neighbours and their distance in Å.
Space group F-43m (No. 216)
One atom of each set of equivalent atoms:
Th: 0.0000 0.0000 0.0000 [4 per cell]  4 Co 3.01, 4 Au 3.01
Sc: 0.0000 0.0000 0.5000 [4 per cell]  4 Au 3.01, 4 Co 3.01
Co: 0.2500 0.2500 0.7500 [4 per cell]  4 Sc 3.01, 4 Th 3.01
Au: 0.2500 0.2500 0.2500 [4 per cell]  4 Th 3.01, 4 Sc 3.01

Summary:
* ΔH_f (0 K): -0.34 eV per atom

Entry 2:
Crystalline Ac4YZn5 at its relaxed geometry, computed with PBE.

Cell lengths 3.8474, 3.8474, 19.1812 Å; angles 90.00, 90.00, 90.00 degrees
Last column: nearest neighbours and their distance in Å.
Space group P4/mmm (No. 123)
One atom of each set of equivalent atoms:
Ac: 0.0000 0.0000 0.1030 [2 per cell]  8 Zn 3.36
Ac: 0.0000 0.0000 0.3101 [2 per cell]  8 Zn 3.38-3.44, 1 Y 3.64
Y: 0.0000 0.0000 0.5000 [1 per cell]  8 Zn 3.12
Zn: 0.5000 0.5000 0.0000 [1 per cell]  8 Ac 3.36
Zn: 0.5000 0.5000 0.2056 [2 per cell]  8 Ac 3.36-3.38
Zn: 0.5000 0.5000 0.4199 [2 per cell]  1 Zn 3.07, 4 Y 3.12

Summary:
* ΔH_f (0 K): -0.25 eV per atom

Entry 3:
Crystalline ThScGa6 at its relaxed geometry, computed with PBE.

Cell lengths 4.2994, 4.2994, 8.5096 Å; angles 90.00, 90.00, 90.00 degrees
Last column: nearest neighbours and their distance in Å.
Space group P4/mmm (No. 123)
One atom of each set of equivalent atoms:
Th: 0.0000 0.0000 0.0000 [1 per cell]  12 Ga 3.04-3.13
Sc: 0.0000 0.0000 0.5000 [1 per cell]  12 Ga 2.93-3.04
Ga: 0.0000 0.5000 0.2669 [4 per cell]  2 Sc 2.93, 8 Ga 2.93-3.13, 2 Th 3.13
Ga: 0.5000 0.5000 0.0000 [1 per cell]  4 Th 3.04, 8 Ga 3.13
Ga: 0.5000 0.5000 0.5000 [1 per cell]  8 Ga 2.93, 4 Sc 3.04

Summary:
* ΔH_f (0 K): -0.48 eV per atom

Entry 4:
Crystalline KPb2Cl5 at its relaxed geometry, computed with PBE.

Cell lengths 5.7412, 14.3120, 14.9683 Å; angles 90.00, 90.00, 90.00 degrees
Last column: nearest neighbours and their distance in Å.
Space group Cmcm (No. 63)
One atom of each set of equivalent atoms:
K: 0.0000 0.2118 0.2500 [4 per cell]  6 Cl 3.11-3.27
Pb: 0.0000 0.1378 0.5604 [8 per cell]  6 Cl 2.80-3.11
Cl: 0.0000 0.0506 0.1109 [8 per cell]  2 Pb 2.80-2.85, 1 K 3.11
Cl: 0.0000 0.2010 0.7500 [4 per cell]  2 Pb 2.98, 2 K 3.13
Cl: 0.0000 0.3173 0.0565 [8 per cell]  3 Pb 2.94-3.11, 1 K 3.27

Summary:
* uncorrected energy: -114.6 eV/cell

Entry 5:
Crystalline SrCo3Bi at its relaxed geometry, computed with PBE.

Cell lengths 4.8204, 4.8204, 4.8204 Å; angles 90.00, 90.00, 90.00 degrees
Last column: nearest neighbours and their distance in Å.
Space group Pm-3m (No. 221)
One atom of each set of equivalent atoms:
Sr: 0.0000 0.0000 0.0000 [1 per cell]  6 Co 2.41
Co: 0.0000 0.0000 0.5000 [3 per cell]  2 Sr 2.41
Bi: 0.5000 0.5000 0.5000 [1 per cell]  12 Co 3.41

Summary:
* ΔH_f (0 K): 1.86 eV per atom

Entry 6:
Crystalline KAu2Cl at its relaxed geometry, computed with PBE.

Cell lengths 4.3535, 6.3644, 8.2918 Å; angles 90.00, 90.00, 90.00 degrees
Last column: nearest neighbours and their distance in Å.
Space group Imm2 (No. 44)
One atom of each set of equivalent atoms:
K: 0.0000 0.0000 0.0000 [2 per cell]  2 Cl 3.18, 4 Au 3.49
Au: 0.0000 0.0000 0.5078 [2 per cell]  2 Au 2.64, 2 Cl 2.80
Au: 0.0000 0.5000 0.8283 [2 per cell]  2 Au 2.64
Cl: 0.0000 0.5000 0.2200 [2 per cell]  2 Au 2.80

Summary:
* uncorrected energy: -21.7 eV/cell